Entry 1:
The following is a GGA-PBE calculation of TbPm3As4 after structural relaxation, from the Alexandria database.

The space group is Pm-3m (No. 221) and the conventional cell measures 5.9576, 5.9576 and 5.9576 Å, with angles of 90.00, 90.00 and 90.00 degrees. The inequivalent atoms are Tb at (0.0000, 0.0000, 0.0000), Pm at (0.0000, 0.5000, 0.5000), As at (0.0000, 0.0000, 0.5000) and As at (0.5000, 0.5000, 0.5000).

The calculation puts the formation energy at -12.2 eV/f.u. The calculated volume comes out at 26.432 Å³ per atom. The calculation puts the density of states at the Fermi level at 0.09 states/eV/atom.

---

Entry 2:
The following is a GGA-PBE calculation of Rb2SF after structural relaxation, from the Alexandria database.

The space group is Fm-3m (No. 225) and the conventional cell measures 7.7018, 7.7018 and 7.7018 Å, with angles of 90.00, 90.00 and 90.00 degrees. The inequivalent atoms are Rb at (0.2500, 0.2500, 0.2500), S at (0.0000, 0.0000, 0.0000) and F at (0.0000, 0.0000, 0.5000).

The formation energy (no corrections) is -1.305 eV/atom. The calculated volume comes out at 28.554 Å³ per atom. The calculation puts the density of states at the Fermi level at 4.43 states/eV/atom. Its polymorph energy (0 for the lowest one) is 0.197 eV/atom.

---

Entry 3:
The following is a GGA-PBE calculation of YThMgIn after structural relaxation, from the Alexandria database.

The space group is F-43m (No. 216) and the conventional cell measures 7.6320, 7.6320 and 7.6320 Å, with angles of 90.00, 90.00 and 90.00 degrees. The inequivalent atoms are Y at (0.0000, 0.0000, 0.0000), Th at (0.0000, 0.0000, 0.5000), Mg at (0.2500, 0.2500, 0.2500) and In at (0.2500, 0.2500, 0.7500).

The calculation puts the formation energy at -0.8 eV/f.u. The calculated volume comes out at 27.784 Å³ per atom. The calculation puts the density of states at the Fermi level at 0.82 states/eV/atom.

---

Entry 4:
The following is a GGA-PBE calculation of Y2Si2Sn after structural relaxation, from the Alexandria database.

The space group is I4/mmm (No. 139) and the conventional cell measures 3.6456, 3.6456 and 17.5541 Å, with angles of 90.00, 90.00 and 90.00 degrees. The inequivalent atoms are Y at (0.0000, 0.0000, 0.1166), Si at (0.0000, 0.5000, 0.2500) and Sn at (0.0000, 0.0000, 0.5000).

The formation energy (no corrections) is -0.534 eV/atom. The calculated volume comes out at 23.329 Å³ per atom. The calculation puts the density of states at the Fermi level at 0.54 states/eV/atom.

---

Entry 5:
The following is a GGA-PBE calculation of Zr6Zn16Cu7 after structural relaxation, from the Alexandria database.

The space group is Fm-3m (No. 225) and the conventional cell measures 12.1379, 12.1379 and 12.1379 Å, with angles of 90.00, 90.00 and 90.00 degrees. The inequivalent atoms are Zr at (0.0000, 0.0000, 0.1952), Zn at (0.1197, 0.1197, 0.3803), Zn at (0.1670, 0.1670, 0.1670), Cu at (0.0000, 0.0000, 0.5000) and Cu at (0.0000, 0.2500, 0.2500).

The calculation puts the formation energy at -6.9 eV/f.u. The calculated volume comes out at 15.416 Å³ per atom. The calculation puts the density of states at the Fermi level at 0.48 states/eV/atom.

---

Entry 6:
The following is a GGA-PBE calculation of KCdH2 after structural relaxation, from the Alexandria database.

The space group is P2_1/c (No. 14) and the conventional cell measures 5.8026, 5.1774 and 10.2910 Å, with angles of 90.00, 93.44 and 90.00 degrees. The inequivalent atoms are K at (0.0295, 0.2189, 0.3710), Cd at (0.4481, 0.1147, 0.1202), H at (0.1372, 0.2383, 0.1256) and H at (0.3848, 0.6419, 0.7691).

The calculated volume comes out at 19.288 Å³ per atom. Its polymorph energy (0 for the lowest one) is 0.000 eV/atom.

---

Entry 7:
The following is a GGA-PBE calculation of Cs4Nd3SbSe8 after structural relaxation, from the Alexandria database.

The space group is R-3m (No. 166, hexagonal axes) and the conventional cell measures 8.7783, 8.7783 and 25.1239 Å, with angles of 90.00, 90.00 and 120.00 degrees. The inequivalent atoms are Cs at (0.0000, 0.0000, 0.0000), Cs at (0.0000, 0.5000, 0.0000), Nd at (0.0000, 0.5000, 0.5000), Sb at (0.0000, 0.0000, 0.5000), Se at (0.0000, 0.0000, 0.2305) and Se at (0.0053, 0.5026, 0.2295).

The formation energy (no corrections) is -1.461 eV/atom. The calculated volume comes out at 34.931 Å³ per atom. The calculation puts the density of states at the Fermi level at 0.00 states/eV/atom.

---

Entry 8:
The following is a GGA-PBE calculation of KThI6 after structural relaxation, from the Alexandria database.

The space group is P-1 (No. 2) and the conventional cell measures 5.6267, 8.6841 and 9.2666 Å, with angles of 70.48, 72.59 and 71.60 degrees. The inequivalent atoms are K at (0.0000, 0.0000, 0.0000), Th at (0.5000, 0.5000, 0.5000), I at (0.0732, 0.5639, 0.2884), I at (0.2735, 0.7199, 0.7364) and I at (0.4330, 0.8674, 0.2679).

The formation energy (no corrections) is -0.997 eV/atom. The calculated volume comes out at 49.416 Å³ per atom. The calculation puts the density of states at the Fermi level at 0.83 states/eV/atom. Its polymorph energy (0 for the lowest one) is 0.052 eV/atom.

---

Entry 9:
The following is a GGA-PBE calculation of La3TlBr2 after structural relaxation, from the Alexandria database.

The space group is Cmcm (No. 63) and the conventional cell measures 12.3187, 10.8959 and 6.2223 Å, with angles of 90.00, 90.00 and 90.00 degrees. The inequivalent atoms are La at (0.0000, 0.1431, 0.2500), La at (0.1968, 0.3520, 0.7500), Tl at (0.0000, 0.1578, 0.7500) and Br at (0.1528, 0.3712, 0.2500).

The formation energy (no corrections) is -0.795 eV/atom. The calculated volume comes out at 34.799 Å³ per atom. The calculation puts the density of states at the Fermi level at 0.84 states/eV/atom. Its polymorph energy (0 for the lowest one) is 0.226 eV/atom.

---

Entry 10:
The following is a GGA-PBE calculation of PuSn3 after structural relaxation, from the Alexandria database.

The space group is Pm-3m (No. 221) and the conventional cell measures 4.6684, 4.6684 and 4.6684 Å, with angles of 90.00, 90.00 and 90.00 degrees. The inequivalent atoms are Pu at (0.0000, 0.0000, 0.0000) and Sn at (0.0000, 0.5000, 0.5000).

The calculation puts the formation energy at -1.4 eV/f.u. The calculated volume comes out at 25.435 Å³ per atom. The calculation puts the density of states at the Fermi level at 2.45 states/eV/atom.

---

Entry 11:
The following is a GGA-PBE calculation of SmHfGa3 after structural relaxation, from the Alexandria database.

The space group is Cmcm (No. 63) and the conventional cell measures 4.0418, 25.0867 and 4.0663 Å, with angles of 90.00, 90.00 and 90.00 degrees. The inequivalent atoms are Sm at (0.0000, 0.0769, 0.2500), Hf at (0.0000, 0.2067, 0.7500), Ga at (0.0000, 0.3162, 0.7500), Ga at (0.0000, 0.3753, 0.2500) and Ga at (0.0000, 0.4743, 0.2500).

The calculation puts the formation energy at -2.8 eV/f.u. The calculated volume comes out at 20.616 Å³ per atom. The calculation puts the density of states at the Fermi level at 0.46 states/eV/atom.

---

Entry 12:
The following is a GGA-PBE calculation of AcTbSn6 after structural relaxation, from the Alexandria database.

The space group is P4/mmm (No. 123) and the conventional cell measures 4.8876, 4.8876 and 9.3853 Å, with angles of 90.00, 90.00 and 90.00 degrees. The inequivalent atoms are Ac at (0.0000, 0.0000, 0.0000), Tb at (0.0000, 0.0000, 0.5000), Sn at (0.0000, 0.5000, 0.2617), Sn at (0.5000, 0.5000, 0.0000) and Sn at (0.5000, 0.5000, 0.5000).

The calculation puts the formation energy at -3.8 eV/f.u. The calculated volume comes out at 28.026 Å³ per atom. The calculation puts the density of states at the Fermi level at 0.51 states/eV/atom.

---

Entry 13:
The following is a GGA-PBE calculation of LaPr6Dy5 after structural relaxation, from the Alexandria database.

The space group is Cmmm (No. 65) and the conventional cell measures 5.1754, 15.5475 and 10.2356 Å, with angles of 90.00, 90.00 and 90.00 degrees. The inequivalent atoms are La at (0.0000, 0.0000, 0.0000), Pr at (0.0000, 0.1669, 0.2523), Pr at (0.0000, 0.5000, 0.2534), Dy at (0.0000, 0.0000, 0.5000), Dy at (0.0000, 0.3311, 0.0000) and Dy at (0.0000, 0.3331, 0.5000).

The calculation puts the formation energy at 0.2 eV/f.u. The calculated volume comes out at 34.317 Å³ per atom. The calculation puts the density of states at the Fermi level at 1.45 states/eV/atom.